1.
Entry from the Alexandria database: an optimized crystal structure of Sm4CdSb (PBE-GGA).

Calculated values
ΔE_f (raw) = -0.268 eV/atom

Cell: 5.647 21.578 6.493 Å, 90.00 90.00 90.00°
Space group Cmcm (No. 63)
Symmetry-distinct sites (fractional):
1 Sm 0.000 0.066 0.250 x4
2 Sm 0.000 0.209 0.002 x8
3 Sm 0.000 0.372 0.250 x4
4 Cd 0.000 0.075 0.750 x4
5 Sb 0.000 0.346 0.750 x4



2.
Entry from the Alexandria database: an optimized crystal structure of Sm6Er2Tm (PBE-GGA).

Calculated values
Excess energy over the best structure of this formula in the dataset = 99 kJ/mol of formula units
Formation enthalpy at 0 K = 133 meV/atom

Cell: 9.314 17.487 3.636 Å, 90.00 90.00 90.00°
Space group Cmmm (No. 65)
Symmetry-distinct sites (fractional):
1 Sm 0.177 0.165 0.000 x8
2 Sm 0.185 0.000 0.500 x4
3 Er 0.000 0.322 0.500 x4
4 Tm 0.000 0.500 0.000 x2



3.
Entry from the Alexandria database: an optimized crystal structure of La4TeOs (PBE-GGA).

Calculated values
ΔE_f (raw) = 0.493 eV/atom
Excess energy over the best structure of this formula in the dataset = 594 kJ/mol of formula units

Cell: 8.803 8.803 8.803 Å, 90.00 90.00 90.00°
Space group F-43m (No. 216)
Symmetry-distinct sites (fractional):
1 La 0.124 0.124 0.124 x16
2 Te 0.000 0.000 0.500 x4
3 Os 0.250 0.250 0.750 x4



4.
Entry from the Alexandria database: an optimized crystal structure of InRe2Au (PBE-GGA).

Calculated values
Formation enthalpy at 0 K = 576 meV/atom

Cell: 3.171 4.978 4.581 Å, 90.00 93.91 90.00°
Space group P2/m (No. 10)
Symmetry-distinct sites (fractional):
1 In 0.000 0.000 0.000 x1
2 Re 0.315 0.500 0.223 x2
3 Au 0.500 0.000 0.500 x1



5.
Entry from the Alexandria database: an optimized crystal structure of SmCd3Ni (PBE-GGA).

Calculated values
Formation enthalpy at 0 K = -243 meV/atom

Cell: 5.455 5.812 6.794 Å, 90.00 92.06 90.00°
Space group P2_1/m (No. 11)
Symmetry-distinct sites (fractional):
1 Sm 0.146 0.250 0.379 x2
2 Cd 0.098 0.750 0.115 x2
3 Cd 0.372 0.003 0.797 x4
4 Ni 0.343 0.750 0.463 x2



6.
Entry from the Alexandria database: an optimized crystal structure of Sm2Ho6Er3 (PBE-GGA).

Calculated values
Formation enthalpy at 0 K = 281 meV/atom

Cell: 4.701 4.701 33.004 Å, 90.00 90.00 90.00°
Space group I4/mmm (No. 139)
Symmetry-distinct sites (fractional):
1 Sm 0.000 0.000 0.046 x4
2 Ho 0.000 0.000 0.196 x4
3 Ho 0.000 0.500 0.122 x8
4 Er 0.000 0.000 0.299 x4
5 Er 0.000 0.000 0.500 x2



7.
Entry from the Alexandria database: an optimized crystal structure of SrSc2Ir (PBE-GGA).

Calculated values
Excess energy over the best structure of this formula in the dataset = 190 kJ/mol of formula units
Formation enthalpy at 0 K = 129 meV/atom

Cell: 4.242 4.242 9.973 Å, 90.00 90.00 90.00°
Space group I-4m2 (No. 119)
Symmetry-distinct sites (fractional):
1 Sr 0.000 0.000 0.000 x2
2 Sc 0.000 0.000 0.500 x2
3 Sc 0.000 0.500 0.250 x2
4 Ir 0.000 0.500 0.750 x2



no.,volume (Å³/atom),E (eV per cell),D(E_F) (states/eV per cell)
1,33.0,-102.1,30.208
2,32.9,-81.4,23.942
3,28.4,-124.5,42.318
4,18.0,-28.6,1.311
5,21.5,-28.9,4.609
6,33.2,-95.0,31.778
7,22.4,-45.4,8.466